Record 1
This record from Alexandria describes crystalline KPmNiF6 at its relaxed geometry. The functional is PBE with a Hubbard U.

```
KPmNiF6
1.0
-1.3791 -1.4722 5.4766
2.9956 -3.7190 -3.3552
9.2624 4.3110 3.4914
F K Ni Pm
12 2 2 2
Direct
0.0296 0.6426 0.8544 F
0.0296 0.3871 0.6456 F
0.6129 0.9704 0.8544 F
0.3574 0.3871 0.8544 F
0.9704 0.6129 0.3544 F
0.6426 0.6129 0.1456 F
0.9704 0.3574 0.1456 F
0.3574 0.9704 0.6456 F
0.6426 0.0296 0.3544 F
0.6129 0.6426 0.6456 F
0.3871 0.0296 0.1456 F
0.3871 0.3574 0.3544 F
0.0000 0.0000 0.5000 K
0.0000 0.0000 0.0000 K
0.3333 0.6667 0.7500 Ni
0.6667 0.3333 0.2500 Ni
0.6667 0.3333 0.7500 Pm
0.3333 0.6667 0.2500 Pm
```

The calculation puts the theoretical density at 3.72 g cm⁻³. As for the space group: P-31c, No. 163. As for the total DFT energy (no corrections): -5.32 eV per atom. The spin magnetization is 3.8 Bohr magnetons per cell.



Record 2
This record from Alexandria describes crystalline K2PmNi3F12 at its relaxed geometry. The functional is PBE with a Hubbard U.

```
K2PmNi3F12
1.0
-6.2605 0.9994 2.9735
-5.5610 -1.0016 -4.1359
-3.7623 -5.7711 1.2542
F Ni K Pm
12 3 2 1
Direct
0.8738 0.8738 0.3963 F
0.7262 0.7262 0.1053 F
0.3963 0.8738 0.8738 F
0.7262 0.1053 0.7262 F
0.8947 0.2738 0.2738 F
0.1262 0.1262 0.6037 F
0.1053 0.7262 0.7262 F
0.1262 0.6037 0.1262 F
0.2738 0.8947 0.2738 F
0.8738 0.3963 0.8738 F
0.2738 0.2738 0.8947 F
0.6037 0.1262 0.1262 F
0.0000 0.5000 0.0000 Ni
0.5000 0.0000 0.0000 Ni
0.0000 0.0000 0.5000 Ni
0.6149 0.6149 0.6149 K
0.3851 0.3851 0.3851 K
0.0000 0.0000 0.0000 Pm
```

The calculation puts the theoretical density at 3.94 g cm⁻³. As for the space group: R-3m, No. 166. As for the total DFT energy (no corrections): -4.69 eV per atom. The spin magnetization is 5.0 Bohr magnetons per cell.



Record 3
This record from Alexandria describes crystalline K2PrNiF8 at its relaxed geometry. The functional is PBE with a Hubbard U.

```
K2PrNiF8
1.0
4.3241 -0.2563 -0.0021
-0.2379 6.0948 -0.0050
0.0037 0.0059 7.2640
F Ni Pr K
8 1 1 2
Direct
0.6309 0.8243 0.0000 F
0.9191 0.1965 0.2175 F
0.5226 0.7820 0.5000 F
0.9191 0.1965 0.7825 F
0.3691 0.1757 0.0000 F
0.0809 0.8035 0.2175 F
0.4774 0.2180 0.5000 F
0.0809 0.8035 0.7825 F
0.0000 0.0000 0.0000 Ni
0.0000 0.0000 0.5000 Pr
0.4999 0.5000 0.7702 K
0.5001 0.5000 0.2298 K
```

The calculation puts the theoretical density at 3.74 g cm⁻³. As for the space group: P2/m, No. 10. As for the total DFT energy (no corrections): -4.86 eV per atom. The spin magnetization is 3.1 Bohr magnetons per cell.



Record 4
This record from Alexandria describes crystalline KPuNiF6 at its relaxed geometry. The functional is PBE with a Hubbard U.

```
KPuNiF6
1.0
-2.1950 1.4697 5.2308
-2.8372 -3.9701 3.2114
4.7437 -1.4473 2.4125
K Pu F Ni
1 1 6 1
Direct
0.9997 0.0006 0.0005 K
0.3331 0.3338 0.5005 Pu
0.6468 0.3842 0.7040 F
0.9696 0.3844 0.2958 F
0.9671 0.6475 0.7045 F
0.3861 0.6461 0.2952 F
0.3825 0.9685 0.7034 F
0.6480 0.9687 0.2963 F
0.6668 0.6663 0.4998 Ni
```

The calculation puts the theoretical density at 4.64 g cm⁻³. As for the space group: C2, No. 5. As for the total DFT energy (no corrections): -6.17 eV per atom. The spin magnetization is 3.0 Bohr magnetons per cell.



Record 5
This record from Alexandria describes crystalline KRb2Ni2F7 at its relaxed geometry. The functional is PBE with a Hubbard U.

```
KRb2Ni2F7
1.0
-3.5840 1.2072 1.6125
0.0209 -3.2683 2.4940
3.6061 4.8053 9.6499
Ni Rb F K
2 2 7 1
Direct
0.5922 0.5922 0.8148 Ni
0.4078 0.4078 0.1852 Ni
0.8156 0.8156 0.3692 Rb
0.1844 0.1844 0.6308 Rb
0.5911 0.0910 0.8175 F
0.6846 0.6846 0.6302 F
0.5000 0.5000 0.0000 F
0.0910 0.5911 0.8175 F
0.9090 0.4089 0.1825 F
0.4089 0.9090 0.1825 F
0.3154 0.3154 0.3698 F
0.0000 0.0000 0.0000 K
```

The calculation puts the theoretical density at 4.12 g cm⁻³. As for the space group: I4/mmm, No. 139. As for the total DFT energy (no corrections): -4.28 eV per atom. The spin magnetization is 4.0 Bohr magnetons per cell.



Record 6
This record from Alexandria describes crystalline KRb4Ni3F12 at its relaxed geometry. The functional is PBE with a Hubbard U.

```
KRb4Ni3F12
1.0
-4.4352 -5.9411 0.4112
7.0798 -2.2145 -0.3286
-0.9885 4.2473 6.0099
K F Ni Rb
1 12 3 4
Direct
0.0000 0.0000 0.0000 K
0.0000 0.7176 0.7176 F
0.7176 0.7176 0.0000 F
0.2500 0.7500 0.5000 F
0.2824 0.2824 0.0000 F
0.7500 0.2500 0.5000 F
0.7176 0.0000 0.7176 F
0.2824 0.0000 0.2824 F
0.0000 0.2824 0.2824 F
0.7500 0.5000 0.2500 F
0.2500 0.5000 0.7500 F
0.5000 0.7500 0.2500 F
0.5000 0.2500 0.7500 F
0.5000 0.0000 0.5000 Ni
0.0000 0.5000 0.5000 Ni
0.5000 0.5000 0.0000 Ni
0.5000 0.5000 0.5000 Rb
0.0000 0.5000 0.0000 Rb
0.0000 0.0000 0.5000 Rb
0.5000 0.0000 0.0000 Rb
```

The calculation puts the theoretical density at 4.14 g cm⁻³. As for the space group: Im-3m, No. 229. As for the total DFT energy (no corrections): -4.16 eV per atom. The spin magnetization is 5.0 Bohr magnetons per cell.



Record 7
This record from Alexandria describes crystalline KNiRhF6 at its relaxed geometry. The functional is PBE with a Hubbard U.

```
KNiRhF6
1.0
7.2915 0.0000 0.0000
0.0000 7.2928 0.0000
-3.6458 -3.6464 5.2369
Rh Ni F K
2 2 12 2
Direct
0.5000 0.5000 0.0000 Rh
0.5000 0.0000 0.0000 Rh
0.5000 0.0000 0.5000 Ni
0.0000 0.0000 0.5000 Ni
0.5806 0.3306 0.1612 F
0.4141 0.6670 0.2431 F
0.4194 0.6694 0.8388 F
0.8290 0.0761 0.2431 F
0.8290 0.6670 0.2431 F
0.1788 0.9288 0.3576 F
0.8212 0.0712 0.6424 F
0.1710 0.9239 0.7569 F
0.4141 0.0761 0.2431 F
0.1710 0.3330 0.7569 F
0.5859 0.3330 0.7569 F
0.5859 0.9239 0.7569 F
0.0893 0.3393 0.1786 K
0.9107 0.6607 0.8214 K
```

The calculation puts the theoretical density at 3.75 g cm⁻³. As for the space group: Imma, No. 74. As for the total DFT energy (no corrections): -4.54 eV per atom. The spin magnetization is 3.9 Bohr magnetons per cell.



Record 8
This record from Alexandria describes crystalline K2NiRhF6 at its relaxed geometry. The functional is PBE with a Hubbard U.

```
K2NiRhF6
1.0
-0.5273 5.7685 0.4594
-5.7432 -0.5764 0.6456
1.0340 -0.5958 8.6669
K F Ni Rh
4 12 2 2
Direct
0.5000 0.7500 0.7500 K
0.0000 0.2500 0.2500 K
0.5000 0.7500 0.2500 K
0.0000 0.2500 0.7500 K
0.2518 0.4984 0.0000 F
0.2482 0.5016 0.5000 F
0.7518 0.5016 0.5000 F
0.7483 0.0022 0.0000 F
0.5000 0.2501 0.2264 F
0.2517 0.0022 0.0000 F
0.0000 0.7499 0.7264 F
0.7482 0.4984 0.0000 F
0.2483 0.9978 0.5000 F
0.7517 0.9978 0.5000 F
0.0000 0.7499 0.2736 F
0.5000 0.2501 0.7736 F
0.0000 0.7498 0.5000 Ni
0.5000 0.2502 0.0000 Ni
0.5000 0.2498 0.5000 Rh
0.0000 0.7502 0.0000 Rh
```

The calculation puts the theoretical density at 3.98 g cm⁻³. As for the space group: I4/mmm, No. 139. As for the total DFT energy (no corrections): -4.45 eV per atom. The spin magnetization is 6.0 Bohr magnetons per cell.



Record 9
This record from Alexandria describes crystalline K2Ni3RuF12 at its relaxed geometry. The functional is PBE with a Hubbard U.

```
K2Ni3RuF12
1.0
7.4722 0.1543 0.1094
3.8243 6.4212 0.1094
3.8243 2.2261 6.0240
F Ni K Ru
12 3 2 1
Direct
0.3270 0.9203 0.3270 F
0.0751 0.0751 0.6817 F
0.9203 0.3270 0.3270 F
0.3183 0.9249 0.9249 F
0.9249 0.3183 0.9249 F
0.0797 0.6730 0.6730 F
0.6817 0.0751 0.0751 F
0.3270 0.3270 0.9203 F
0.6730 0.0797 0.6730 F
0.6730 0.6730 0.0797 F
0.0751 0.6817 0.0751 F
0.9249 0.9249 0.3183 F
0.0000 0.0000 0.5000 Ni
0.0000 0.5000 0.0000 Ni
0.5000 0.0000 0.0000 Ni
0.5963 0.5963 0.5963 K
0.4037 0.4037 0.4037 K
0.0000 0.0000 0.0000 Ru
```

The calculation puts the theoretical density at 3.44 g cm⁻³. As for the space group: R-3m, No. 166. As for the total DFT energy (no corrections): -4.51 eV per atom. The spin magnetization is 8.0 Bohr magnetons per cell.



Record 10
This record from Alexandria describes crystalline KNiRuF6 at its relaxed geometry. The functional is PBE with a Hubbard U.

```
KNiRuF6
1.0
7.3006 0.0000 0.0000
0.0000 7.3905 0.0000
-3.6503 -3.6952 5.2338
F Ru Ni K
12 2 2 2
Direct
0.1708 0.3314 0.7542 F
0.5778 0.3278 0.1556 F
0.8221 0.0721 0.6442 F
0.4166 0.0771 0.2458 F
0.4166 0.6686 0.2458 F
0.8292 0.6686 0.2458 F
0.4222 0.6722 0.8444 F
0.1779 0.9279 0.3558 F
0.1708 0.9229 0.7542 F
0.5834 0.3314 0.7542 F
0.5834 0.9229 0.7542 F
0.8292 0.0771 0.2458 F
0.5000 0.5000 0.0000 Ru
0.5000 0.0000 0.0000 Ru
0.0000 0.0000 0.5000 Ni
0.5000 0.0000 0.5000 Ni
0.9092 0.6592 0.8184 K
0.0908 0.3408 0.1816 K
```

The calculation puts the theoretical density at 3.68 g cm⁻³. As for the space group: Imma, No. 74. As for the total DFT energy (no corrections): -4.75 eV per atom. The spin magnetization is 6.0 Bohr magnetons per cell.



Record 11
This record from Alexandria describes crystalline KNiRuF2 at its relaxed geometry. The functional is PBE with a Hubbard U.

```
KNiRuF2
1.0
-2.7819 -1.4694 2.5547
-0.1545 -5.6644 -3.4264
2.9456 -1.4991 2.3454
F K Ru Ni
2 1 1 1
Direct
0.0000 0.0000 0.5000 F
0.5000 0.0000 0.0000 F
0.0000 0.5000 0.0000 K
0.0000 0.0000 0.0000 Ru
0.5000 0.5000 0.5000 Ni
```

The calculation puts the theoretical density at 3.62 g cm⁻³. As for the space group: P4/mmm, No. 123. As for the total DFT energy (no corrections): -2.99 eV per atom. The spin magnetization is 0.0 Bohr magnetons per cell.



Record 12
This record from Alexandria describes crystalline K2NiSbF6 at its relaxed geometry. The functional is PBE with a Hubbard U.

```
K2NiSbF6
1.0
-2.0131 6.0067 -1.5198
1.7248 -2.5379 -5.8508
-4.0070 0.2352 -4.0700
F K Ni Sb
6 2 1 1
Direct
0.2199 0.3456 0.9126 F
0.3365 0.7537 0.0092 F
0.7801 0.6544 0.0874 F
0.6635 0.2463 0.9908 F
0.8132 0.8146 0.4844 F
0.1868 0.1854 0.5156 F
0.7793 0.2342 0.4815 K
0.2207 0.7658 0.5185 K
0.0000 0.0000 0.0000 Ni
0.5000 0.5000 0.0000 Sb
```

The calculation puts the theoretical density at 3.55 g cm⁻³. As for the space group: P-1, No. 2. As for the total DFT energy (no corrections): -4.28 eV per atom. The spin magnetization is 1.0 Bohr magnetons per cell.